Below is a geometry-optimized TiReGeRu structure, with properties calculated at the PBE level.

Unit cell a=6.144 b=6.144 c=6.144 alpha=90.00 beta=90.00 gamma=90.00
Space group F-43m (No. 216)
Unique sites:
1 Ti 0.000 0.000 0.000
2 Re 0.250 0.250 0.250
3 Ge 0.000 0.000 0.500
4 Ru 0.250 0.250 0.750

Final energy = -8.913 eV per atom